Below is Tl2CrO5 after structural relaxation, with properties calculated at the PBE with a Hubbard U level.

abc: 6.142 6.142 7.989
angles: 90.00 90.00 90.00
Space group I4mm (No. 107)
Unique sites:
Tl (0.000, 0.500, 0.000) x4
Cr (0.000, 0.000, 0.349) x2
O (0.000, 0.000, 0.146) x2
O (0.202, 0.202, 0.416) x8

Uncorrected energy   -5.37 eV/atom
Mass density   5959 kg/m3